# Ba4Fe2MoWO12, optimized geometry, DFT GGA+U
# symmetry: No. 166
# final energy: -137.89 eV per formula unit
data_Ba4Fe2MoWO12
_cell_length_a 10.0393
_cell_length_b 10.0393
_cell_length_c 10.0393
_cell_angle_alpha 33.63
_cell_angle_beta 33.63
_cell_angle_gamma 33.63
_symmetry_space_group_name_H-M 'P 1'
_symmetry_Int_Tables_number 1
loop_
_symmetry_equiv_pos_as_xyz
'x,y,z'
loop_
_atom_site_label
_atom_site_fract_x
_atom_site_fract_y
_atom_site_fract_z
Ba1 0.1231 0.1231 0.1231
Ba2 0.3737 0.3737 0.3737
Ba3 0.6263 0.6263 0.6263
Ba4 0.8769 0.8769 0.8769
Fe1 0.2523 0.2523 0.2523
Fe2 0.7477 0.7477 0.7477
Mo1 0.0000 0.0000 0.0000
W1 0.5000 0.5000 0.5000
O1 0.1245 0.1245 0.6278
O2 0.1245 0.6278 0.1245
O3 0.1393 0.6206 0.6206
O4 0.3722 0.8755 0.8755
O5 0.3794 0.3794 0.8607
O6 0.3794 0.8607 0.3794
O7 0.6206 0.1393 0.6206
O8 0.6206 0.6206 0.1393
O9 0.6278 0.1245 0.1245
O10 0.8607 0.3794 0.3794
O11 0.8755 0.3722 0.8755
O12 0.8755 0.8755 0.3722